No. 1
Material: ZrB2I2
Method: DFT, GGA-PBEsol
State: relaxed

Results
- Raw formation energy: 1207 meV per atom

a = 7.620 Å, b = 7.620 Å, c = 3.301 Å
α = 90.00°, β = 90.00°, γ = 90.00°
Space group P4/mbm (No. 127)
Symmetry-distinct sites (fractional):
Zr  0.000  0.000  0.000 [2 per cell]
B  0.208  0.292  0.500 [4 per cell]
I  0.146  0.646  0.000 [4 per cell]

---

No. 2
Material: ReSbAu2
Method: DFT, GGA-PBEsol
State: relaxed

Results
- Raw formation energy: 574 meV per atom

a = 2.779 Å, b = 4.068 Å, c = 6.423 Å
α = 90.00°, β = 90.00°, γ = 90.00°
Space group Pmmm (No. 47)
Symmetry-distinct sites (fractional):
Re  0.000  0.000  0.000 [1 per cell]
Sb  0.000  0.000  0.500 [1 per cell]
Au  0.500  0.500  0.219 [2 per cell]

---

No. 3
Material: AgGe3Te
Method: DFT, GGA-PBEsol
State: relaxed

Results
- Raw formation energy: 1156 meV per atom

a = 5.361 Å, b = 5.361 Å, c = 5.361 Å
α = 90.00°, β = 90.00°, γ = 90.00°
Space group Pm-3m (No. 221)
Symmetry-distinct sites (fractional):
Ag  0.000  0.000  0.000 [1 per cell]
Ge  0.000  0.500  0.500 [3 per cell]
Te  0.500  0.500  0.500 [1 per cell]

---

No. 4
Material: GaCo2Ni2
Method: DFT, GGA-PBEsol
State: relaxed

Results
- Energy of formation: 239 meV/atom

a = 3.235 Å, b = 3.235 Å, c = 11.423 Å
α = 90.00°, β = 90.00°, γ = 90.00°
Space group I4/mmm (No. 139)
Symmetry-distinct sites (fractional):
Ga  0.000  0.000  0.000 [2 per cell]
Co  0.000  0.000  0.401 [4 per cell]
Ni  0.000  0.500  0.250 [4 per cell]

---

No. 5
Material: TaCo2Au
Method: DFT, GGA-PBEsol
State: relaxed

Results
- Energy of formation: -162 meV/atom

a = 3.910 Å, b = 3.910 Å, c = 3.451 Å
α = 90.00°, β = 90.00°, γ = 90.00°
Space group P4/mmm (No. 123)
Symmetry-distinct sites (fractional):
Ta  0.000  0.000  0.000 [1 per cell]
Co  0.000  0.500  0.500 [2 per cell]
Au  0.500  0.500  0.000 [1 per cell]

---

No. 6
Material: AsP2SF
Method: DFT, GGA-PBEsol
State: relaxed

Results
- Raw formation energy: 842 meV per atom

a = 4.686 Å, b = 4.686 Å, c = 4.579 Å
α = 90.00°, β = 90.00°, γ = 90.00°
Space group P4/mmm (No. 123)
Symmetry-distinct sites (fractional):
As  0.000  0.000  0.000 [1 per cell]
P  0.000  0.500  0.000 [2 per cell]
S  0.000  0.000  0.500 [1 per cell]
F  0.500  0.500  0.500 [1 per cell]

---

No. 7
Material: SrMo2W
Method: DFT, GGA-PBEsol
State: relaxed

Results
- Energy of formation: 897 meV/atom

a = 3.0858 Å, b = 3.0858 Å, c = 27.9332 Å
α = 90.00°, β = 90.00°, γ = 120.00°
Space group R-3m (No. 166, hexagonal axes)
Symmetry-distinct sites (fractional):
Sr  0.0000  0.0000  0.0000 [3 per cell]
Mo  0.0000  0.0000  0.2351 [6 per cell]
W  0.0000  0.0000  0.5000 [3 per cell]

---

No. 8
Material: Ta3TiAg
Method: DFT, GGA-PBEsol
State: relaxed

Results
- Energy of formation: 2000 meV/atom

a = 4.816 Å, b = 4.816 Å, c = 4.816 Å
α = 90.00°, β = 90.00°, γ = 90.00°
Space group Pm-3m (No. 221)
Symmetry-distinct sites (fractional):
Ta  0.000  0.000  0.500 [3 per cell]
Ti  0.500  0.500  0.500 [1 per cell]
Ag  0.000  0.000  0.000 [1 per cell]

---

No. 9
Material: LiMgMn2
Method: DFT, GGA-PBEsol
State: relaxed

Results
- Energy of formation: 380 meV/atom

a = 2.925 Å, b = 4.057 Å, c = 4.550 Å
α = 90.00°, β = 90.00°, γ = 90.00°
Space group Pmmm (No. 47)
Symmetry-distinct sites (fractional):
Li  0.000  0.000  0.000 [1 per cell]
Mg  0.500  0.500  0.000 [1 per cell]
Mn  0.000  0.500  0.500 [1 per cell]
Mn  0.500  0.000  0.500 [1 per cell]

---

No. 10
Material: SiAg2PdPt
Method: DFT, GGA-PBEsol
State: relaxed

Results
- Raw formation energy: 462 meV per atom

a = 4.578 Å, b = 4.578 Å, c = 4.405 Å
α = 90.00°, β = 90.00°, γ = 90.00°
Space group P4/mmm (No. 123)
Symmetry-distinct sites (fractional):
Si  0.000  0.000  0.000 [1 per cell]
Ag  0.000  0.500  0.000 [2 per cell]
Pd  0.500  0.500  0.500 [1 per cell]
Pt  0.000  0.000  0.500 [1 per cell]

---

No. 11
Material: LaAs2
Method: DFT, GGA-PBEsol
State: relaxed

Results
- Energy of formation: -698 meV/atom

a = 3.703 Å, b = 3.703 Å, c = 9.946 Å
α = 90.00°, β = 90.00°, γ = 90.00°
Space group I4/mmm (No. 139)
Symmetry-distinct sites (fractional):
La  0.000  0.000  0.000 [2 per cell]
As  0.000  0.000  0.300 [4 per cell]

---

No. 12
Material: Al2Au3
Method: DFT, GGA-PBEsol
State: relaxed

Results
- Energy of formation: -324 meV/atom

a = 11.315 Å, b = 12.832 Å, c = 4.730 Å
α = 90.00°, β = 90.00°, γ = 90.00°
Space group Fdd2 (No. 43)
Symmetry-distinct sites (fractional):
Al  0.062  0.199  0.000 [16 per cell]
Au  0.000  0.000  0.023 [8 per cell]
Au  0.026  0.119  0.510 [16 per cell]